Record 1
Compound: Tl2ZnPb
Source: Alexandria
Functional: PBE
Structure: relaxed

The formation energy from the elements comes out at 10.2 kJ per mole of atoms. The distance to the lowest polymorph of the same formula comes out at 22.4 meV per atom. For the uncorrected energy, the calculation gives -18.58 eV/cell.

It has space group Immm (No. 71), with a = 3.6877 Å, b = 5.5053 Å, c = 10.8277 Å, α = 90.00°, β = 90.00° and γ = 90.00°. The inequivalent atoms are Tl at (0.0000, 0.0000, 0.2209), Zn at (0.0000, 0.5000, 0.5000) and Pb at (0.0000, 0.5000, 0.0000).

Record 2
Compound: Tl2CdIn4Sn
Source: Alexandria
Functional: PBE
Structure: relaxed

The formation energy from the elements comes out at 5.2 kJ per mole of atoms. For the uncorrected energy, the calculation gives -20.18 eV/cell.

It has space group P2/m (No. 10), with a = 6.2090 Å, b = 5.5979 Å, c = 6.7392 Å, α = 90.00°, β = 103.47° and γ = 90.00°. The inequivalent atoms are Tl at (0.0000, 0.0000, 0.0000), Tl at (0.5000, 0.5000, 0.5000), Cd at (0.0000, 0.0000, 0.5000), In at (0.0126, 0.5000, 0.7474), In at (0.4779, 0.0000, 0.7511) and Sn at (0.5000, 0.5000, 0.0000).

Record 3
Compound: CsTcS2
Source: Alexandria
Functional: PBE
Structure: relaxed

The value obtained for the raw formation energy is -623 meV/atom. The distance to the lowest polymorph of the same formula comes out at 86.7 meV per atom. For the uncorrected energy, the calculation gives -87.87 eV/cell.

It has space group I-42d (No. 122), with a = 7.2215 Å, b = 7.2215 Å, c = 9.0122 Å, α = 90.00°, β = 90.00° and γ = 90.00°. The inequivalent atoms are Cs at (0.0000, 0.0000, 0.0000), Tc at (0.0000, 0.0000, 0.5000) and S at (0.1033, 0.2500, 0.6250).

Record 4
Compound: TmBeRh
Source: Alexandria
Functional: PBE
Structure: relaxed

The formation energy from the elements comes out at -40.1 kJ per mole of atoms. The distance to the lowest polymorph of the same formula comes out at 247.8 meV per atom. For the uncorrected energy, the calculation gives -50.39 eV/cell.

It has space group R3m (No. 160, hexagonal axes), with a = 3.7428 Å, b = 3.7428 Å, c = 13.1754 Å, α = 90.00°, β = 90.00° and γ = 120.00°. The inequivalent atoms are Tm at (0.0000, 0.0000, 0.0000), Be at (0.0000, 0.0000, 0.2029) and Rh at (0.0000, 0.0000, 0.5007).

Record 5
Compound: Pm2ErP
Source: Alexandria
Functional: PBE
Structure: relaxed

The formation energy from the elements comes out at -60.0 kJ per mole of atoms. For the uncorrected energy, the calculation gives -65.88 eV/cell.

It has space group R-3m (No. 166, hexagonal axes), with a = 3.8866 Å, b = 3.8866 Å, c = 28.4313 Å, α = 90.00°, β = 90.00° and γ = 120.00°. The inequivalent atoms are Pm at (0.0000, 0.0000, 0.2265), Er at (0.0000, 0.0000, 0.0000) and P at (0.0000, 0.0000, 0.5000).

Record 6
Compound: H2PtI
Source: Alexandria
Functional: PBE
Structure: relaxed

The distance to the lowest polymorph of the same formula comes out at 0.0 meV per atom. For the uncorrected energy, the calculation gives -105.43 eV/cell.

It has space group Fd-3m (No. 227, origin choice 2), with a = 7.8945 Å, b = 7.8945 Å, c = 7.8945 Å, α = 90.00°, β = 90.00° and γ = 90.00°. The inequivalent atoms are H at (0.0000, 0.0000, 0.0000), Pt at (0.1250, 0.1250, 0.1250) and I at (0.1250, 0.1250, 0.6250).

What did the first record say?
Compound: Tl2ZnPb
Source: Alexandria
Functional: PBE
Structure: relaxed

The formation energy from the elements comes out at 10.2 kJ per mole of atoms. The distance to the lowest polymorph of the same formula comes out at 22.4 meV per atom. For the uncorrected energy, the calculation gives -18.58 eV/cell.

It has space group Immm (No. 71), with a = 3.6877 Å, b = 5.5053 Å, c = 10.8277 Å, α = 90.00°, β = 90.00° and γ = 90.00°. The inequivalent atoms are Tl at (0.0000, 0.0000, 0.2209), Zn at (0.0000, 0.5000, 0.5000) and Pb at (0.0000, 0.5000, 0.0000).